1.
The following is a PBE calculation of a relaxed TmZn2GaPd4 crystal, from the Open Quantum Materials Database.

Unit cell a=4.4666 b=4.4666 c=6.4618 alpha=90.00 beta=90.00 gamma=90.00
Closest atoms and distances in Å follow each position.
Element x y z (fractional)
Ga1 0.0000 0.0000 0.0000  8 Pd 2.67
Pd1 0.5000 0.0000 0.2272  4 Zn 2.67-2.85, 2 Ga 2.67, 2 Tm 2.85, 1 Pd 2.94
Pd2 0.0000 0.5000 0.2272  4 Zn 2.67-2.85, 2 Ga 2.67, 2 Tm 2.85, 1 Pd 2.94
Pd3 0.5000 0.0000 0.7728  4 Zn 2.67-2.85, 2 Ga 2.67, 2 Tm 2.85, 1 Pd 2.94
Pd4 0.0000 0.5000 0.7728  4 Zn 2.67-2.85, 2 Ga 2.67, 2 Tm 2.85, 1 Pd 2.94
Tm1 0.5000 0.5000 0.5000  8 Pd 2.85, 4 Zn 3.16
Zn1 0.5000 0.5000 0.0000  8 Pd 2.67
Zn2 0.0000 0.0000 0.5000  8 Pd 2.85, 4 Tm 3.16

Summary:
* SG: No. 123
* total energy: -0.333 Ry/atom

=====

2.
The following is a PBE calculation of a relaxed BaTbW crystal, from the Open Quantum Materials Database.

Unit cell a=5.1294 b=5.1294 c=5.1294 alpha=60.00 beta=60.00 gamma=60.00
Closest atoms and distances in Å follow each position.
Element x y z (fractional)
Ba1 0.0000 0.0000 0.0000  4 W 3.14, 4 Tb 3.14
Tb1 0.2500 0.2500 0.2500  4 Ba 3.14
W1 0.7500 0.7500 0.7500  4 Ba 3.14

Summary:
* SG: No. 216
* total energy: -0.332 Ry/atom

=====

3.
The following is a PBE calculation of a relaxed NbCdCuPt crystal, from the Open Quantum Materials Database.

Unit cell a=4.5220 b=4.5220 c=4.5220 alpha=60.00 beta=60.00 gamma=60.00
Closest atoms and distances in Å follow each position.
Element x y z (fractional)
Cd1 0.0000 0.0000 0.0000  4 Nb 2.77, 4 Cu 2.77
Cu1 0.7500 0.7500 0.7500  4 Pt 2.77, 4 Cd 2.77
Nb1 0.2500 0.2500 0.2500  4 Cd 2.77, 4 Pt 2.77
Pt1 0.5000 0.5000 0.5000  4 Cu 2.77, 4 Nb 2.77

Summary:
* SG: No. 216
* total energy: -0.387 Ry/atom
* polymorph energy (0 for the lowest one): 0.407 eV/f.u.
* formation enthalpy at 0 K: -0.08 eV per atom

=====

What is the total energy in the third record?
-0.387 Ry/atom

=====

Among the records above, which one has the lowest total energy?
NbCdCuPt

=====

Which value of total energy does entry 3 give?
-0.387 Ry/atom

=====

Repeat the second record exactly.
The following is a PBE calculation of a relaxed BaTbW crystal, from the Open Quantum Materials Database.

Unit cell a=5.1294 b=5.1294 c=5.1294 alpha=60.00 beta=60.00 gamma=60.00
Closest atoms and distances in Å follow each position.
Element x y z (fractional)
Ba1 0.0000 0.0000 0.0000  4 W 3.14, 4 Tb 3.14
Tb1 0.2500 0.2500 0.2500  4 Ba 3.14
W1 0.7500 0.7500 0.7500  4 Ba 3.14

Summary:
* SG: No. 216
* total energy: -0.332 Ry/atom